Ta2ZnPt, relaxed, DFT PBE; excess energy over the best structure of this formula in the dataset = 175 meV per atom; symmetry = P4/mmm (123)
1.0
3.464 0.000 0.000
0.000 3.464 0.000
0.000 0.000 5.567
Ta Zn Pt
2 1 1
direct
0.000 0.000 0.250 Ta
0.000 0.000 0.750 Ta
0.500 0.500 0.000 Zn
0.500 0.500 0.500 Pt